1.
Compound: NaSiSb2I
Source: Alexandria via LeMat-Bulk
Functional: GGA-PBE
Structure: optimized geometry

The structure belongs to space group P4/mmm (No. 123); the cell edges are 5.435, 5.435 and 5.645 Å and the angles 90.00°, 90.00° and 90.00°. The inequivalent atoms are Na at (0.000, 0.000, 0.000), Si at (0.500, 0.500, 0.500), Sb at (0.000, 0.500, 0.000) and I at (0.000, 0.000, 0.500).

The calculation puts the raw formation energy at 1.0160 eV/atom.

=====

2.
Compound: Ho2ErSc9
Source: Alexandria via LeMat-Bulk
Functional: GGA-PBE
Structure: optimized geometry

The structure belongs to space group P6/mmm (No. 191); the cell edges are 10.4844, 10.4844 and 3.2781 Å and the angles 90.00°, 90.00° and 120.00°. The inequivalent atoms are Ho at (0.3333, 0.6667, 0.0000), Er at (0.0000, 0.0000, 0.0000), Sc at (0.0000, 0.5000, 0.0000) and Sc at (0.1751, 0.3502, 0.5000).

The total energy comes out at -5.8167 eV per atom.

=====

3.
Compound: MgTcSb2
Source: Alexandria via LeMat-Bulk
Functional: GGA-PBE
Structure: optimized geometry

The structure belongs to space group R-3m (No. 166, hexagonal axes); the cell edges are 3.4520, 3.4520 and 25.3085 Å and the angles 90.00°, 90.00° and 120.00°. The inequivalent atoms are Mg at (0.0000, 0.0000, 0.0000), Tc at (0.0000, 0.0000, 0.5000) and Sb at (0.0000, 0.0000, 0.2402).

The calculation puts the raw formation energy at 0.0370 eV/atom.

=====

4.
Compound: NbAl2Pd2
Source: Alexandria via LeMat-Bulk
Functional: GGA-PBE
Structure: optimized geometry

The structure belongs to space group P4/mbm (No. 127); the cell edges are 7.510, 7.510 and 2.783 Å and the angles 90.00°, 90.00° and 90.00°. The inequivalent atoms are Nb at (0.000, 0.000, 0.000), Al at (0.164, 0.336, 0.500) and Pd at (0.133, 0.633, 0.000).

The total energy comes out at -6.1447 eV per atom.

=====

| no. | magnetic moment (μB/cell) |
| --- | --- |
| 1 | 0.0 |
| 2 | 0.0 |
| 3 | 0.0 |
| 4 | 0.0 |